# 1
Mg2CdH2 at its PBEsol-relaxed geometry, computed with SCAN.

Lattice parameters (Å, degrees): 3.210 3.210 13.334 90.00 90.00 90.00
Space group I4/mmm (No. 139)
Unique sites:
Mg: 0.000 0.000 0.162 x4
Cd: 0.000 0.000 0.500 x2
H: 0.000 0.500 0.250 x4

D(E_F): 0.91 states/eV/f.u.
total magnetic moment: 0.0 μB/f.u.

# 2
Mg2CdH at its PBEsol-relaxed geometry, computed with SCAN.

Lattice parameters (Å, degrees): 6.601 6.601 6.601 90.00 90.00 90.00
Space group Fm-3m (No. 225)
Unique sites:
Mg: 0.250 0.250 0.250 x8
Cd: 0.000 0.000 0.000 x4
H: 0.000 0.000 0.500 x4

D(E_F): 1.56 states/eV/f.u.
total magnetic moment: 0.0 μB/f.u.

# 3
MgCdH2O at its PBEsol-relaxed geometry, computed with SCAN.

Lattice parameters (Å, degrees): 3.289 3.289 6.743 90.00 90.00 90.00
Space group P4/mmm (No. 123)
Unique sites:
Mg: 0.000 0.000 0.000 x1
Cd: 0.000 0.000 0.500 x1
H: 0.000 0.500 0.500 x2
O: 0.500 0.500 0.000 x1

D(E_F): 0.73 states/eV/f.u.
total magnetic moment: 0.0 μB/f.u.

Going through the records in order, we get total energy values of -95.99 -170.10 -49.87 eV/cell.